# 1
{
  "formula": "Sc2S3",
  "functional": "PBEsol",
  "state": "relaxed",
  "e_form_raw_ev_per_atom": -1.96,
  "cell": [[6.3044, -0.0008, 0.0000], [-2.0618, 5.9577, 0.0000], [-2.1213, -2.9785, 10.9107]],
  "species": ["Sc", "Sc", "Sc", "Sc", "Sc", "Sc", "Sc", "Sc", "S", "S", "S", "S", "S", "S", "S", "S", "S", "S", "S", "S"],
  "fractional_positions": [[0.1664, 0.6664, 0.3328], [0.3336, 0.8336, 0.6672], [0.0836, 0.0836, 0.1672], [0.9164, 0.9164, 0.8328], [0.5020, 0.0020, 0.0041], [0.9980, 0.4980, 0.9959], [0.7480, 0.7480, 0.4959], [0.2520, 0.2520, 0.5041], [0.4939, 0.9939, 0.5000], [0.0061, 0.5061, 0.5000], [0.7561, 0.7561, 0.0000], [0.2439, 0.2439, 0.0000], [0.5850, 0.5904, 0.6628], [0.9275, 0.9222, 0.3372], [0.4096, 0.4150, 0.3372], [0.0778, 0.0725, 0.6628], [0.6650, 0.1596, 0.8372], [0.3225, 0.8279, 0.1628], [0.8404, 0.3350, 0.1628], [0.1721, 0.6775, 0.8372]]
}

# 2
{
  "formula": "Al2TlSe",
  "functional": "PBEsol",
  "state": "relaxed",
  "dos_ef_per_ev_fu": 1.43,
  "e_above_lowest_polymorph_kcal_per_mol_atoms": 0.00,
  "e_form_raw_ev_per_atom": -0.09,
  "cell": [[3.6671, 0.0000, 0.0000], [1.8335, 3.1758, 0.0000], [1.8335, 1.0586, 7.3323]],
  "species": ["Tl", "Al", "Al", "Se"],
  "fractional_positions": [[0.0000, 0.0000, 0.0000], [0.2425, 0.2425, 0.2725], [0.7575, 0.7575, 0.7275], [0.5000, 0.5000, 0.5000]]
}

# 3
{
  "formula": "AlFe3Pt",
  "functional": "PBEsol",
  "state": "relaxed",
  "delta_e_f_ev_per_atom": 1.21,
  "dos_ef_per_ev_fu": 5.00,
  "cell": [[-1.9048, 2.8623, 3.0527], [-3.8321, 0.1546, -2.5361], [-1.6814, -3.5949, 2.3215]],
  "species": ["Fe", "Fe", "Fe", "Pt", "Al"],
  "fractional_positions": [[0.0000, 0.5000, 0.0000], [0.0000, 0.0000, 0.5000], [0.5000, 0.0000, 0.0000], [0.0000, 0.0000, 0.0000], [0.5000, 0.5000, 0.5000]]
}